# 1
Below is a relaxed Na2SiAs2H2 crystal, with properties calculated at the PBE-GGA level.

Structure (POSCAR):
```
Na2SiAs2H2
1.0
5.9308 -1.9322 0.0000
5.9308 1.9322 0.0000
-1.9316 0.0000 5.0860
Na Si As H
2 1 2 2
Cartesian
2.0406 0.0000 1.0916
7.8894 0.0000 3.9945
-0.9658 0.0000 2.5430
5.0358 0.0000 0.8659
4.8943 0.0000 4.2201
0.6338 0.0000 2.8199
9.2963 0.0000 2.2662
```

Calculated total energy   -3.552 eV per atom
Crystal system   monoclinic
Density   3.22 g cm⁻³
Magnetic moment   0.00 Bohr magnetons per cell
DOS at the Fermi energy   0.15 states/eV per cell

# 2
Below is a relaxed UAlCrRe crystal, with properties calculated at the PBE-GGA level.

Structure (POSCAR):
```
UAlCrRe
1.0
0.0000 3.2052 3.2052
3.2052 0.0000 3.2052
3.2052 3.2052 0.0000
U Al Cr Re
1 1 1 1
Cartesian
0.0000 0.0000 0.0000
3.2052 3.2052 3.2052
1.6026 1.6026 1.6026
4.8079 4.8079 4.8079
```

Calculated total energy   -9.197 eV per atom
Crystal system   cubic
Density   12.69 g cm⁻³
Magnetic moment   2.17 Bohr magnetons per cell
DOS at the Fermi energy   5.39 states/eV per cell

# 3
Below is a relaxed Dy2ScSe4 crystal, with properties calculated at the PBE-GGA level.

Structure (POSCAR):
```
Dy2ScSe4
1.0
1.9377 -6.6762 0.0000
1.9377 6.6762 0.0000
0.0000 0.0000 13.6778
Dy Sc Se
4 2 8
Cartesian
1.9377 4.9299 7.8528
1.9377 4.9299 12.6639
1.9377 -4.9299 1.0139
1.9377 -4.9299 5.8250
1.9377 1.7547 10.2584
1.9377 -1.7547 3.4195
1.9377 6.4410 10.2584
1.9377 3.7468 1.7077
1.9377 3.7468 5.1312
1.9377 0.0000 0.0000
1.9377 0.0000 6.8389
1.9377 -3.7468 8.5467
1.9377 -3.7468 11.9701
1.9377 -6.4410 3.4195
```

Calculated total energy   -5.935 eV per atom
Crystal system   orthorhombic
Density   6.44 g cm⁻³
Magnetic moment   0.00 Bohr magnetons per cell
Energy above the most stable polymorph in this dataset   84 meV/atom
Formation energy without anion corrections   -1724.8 meV/atom
DOS at the Fermi energy   5.70 states/eV per cell

# 4
Below is a relaxed NdCu2Pd crystal, with properties calculated at the PBE-GGA level.

Structure (POSCAR):
```
NdCu2Pd
1.0
6.8840 0.0000 0.0000
0.0000 4.2174 0.0000
0.0000 0.0000 9.9307
Nd Cu Pd
4 8 4
Cartesian
1.6962 1.0543 1.6865
1.7459 3.1630 6.6519
5.1382 1.0543 3.2788
5.1879 3.1630 8.2442
0.4231 1.0543 8.8013
1.6379 3.1630 9.5374
1.8041 1.0543 4.5721
3.0189 3.1630 3.8359
3.8651 1.0543 6.0947
5.0799 3.1630 5.3586
5.2461 1.0543 0.3933
6.4610 3.1630 1.1294
0.3771 3.1630 3.7778
3.0649 1.0543 8.7431
3.8191 3.1630 1.1875
6.5069 1.0543 6.1529
```

Calculated total energy   -4.941 eV per atom
Crystal system   orthorhombic
Density   8.70 g cm⁻³
Magnetic moment   0.00 Bohr magnetons per cell
Energy above the most stable polymorph in this dataset   0 meV/atom
DOS at the Fermi energy   5.55 states/eV per cell

# 5
Below is a relaxed Tl3ReCl6 crystal, with properties calculated at the PBE-GGA level.

Structure (POSCAR):
```
Tl3ReCl6
1.0
7.2636 0.0000 0.0000
0.0000 7.8765 0.0000
-7.0919 0.0000 10.6223
Tl Re Cl
6 2 12
Cartesian
0.0000 0.0000 0.0000
-3.5460 3.9383 5.3112
-3.7034 0.5949 7.9657
-0.1574 3.3433 2.6545
0.3291 4.5332 7.9678
3.8751 7.2816 2.6566
0.0858 0.0000 5.3112
3.6318 3.9383 0.0000
-1.9342 1.2279 4.8401
-5.4802 2.7103 10.1512
-1.0148 5.8254 4.7006
-4.5607 5.9894 10.0118
0.8289 0.2793 3.0419
-2.7171 3.6589 8.3531
2.8887 4.2176 2.2692
-0.6572 7.5972 7.5804
4.7324 1.8871 0.6105
1.1864 2.0511 5.9217
5.6519 5.1662 0.4711
2.1059 6.6486 5.7823
```

Calculated total energy   -3.818 eV per atom
Crystal system   monoclinic
Density   5.53 g cm⁻³
Magnetic moment   4.00 Bohr magnetons per cell
Formation energy without anion corrections   -755.8 meV/atom
DOS at the Fermi energy   11.69 states/eV per cell

# 6
Below is a relaxed La6Ga2Ni crystal, with properties calculated at the PBE-GGA level.

Structure (POSCAR):
```
La6Ga2Ni
1.0
8.7662 0.0000 0.0000
-4.3831 7.5918 0.0000
0.0000 0.0000 3.8837
La Ga Ni
6 2 1
Cartesian
-1.8050 3.1264 0.0000
-3.3231 5.7558 1.9419
1.0600 1.8359 1.9419
3.6101 0.0000 0.0000
2.5781 4.4654 0.0000
6.6463 0.0000 1.9419
0.0000 5.0612 1.9419
4.3831 2.5306 1.9419
0.0000 0.0000 0.0000
```

Calculated total energy   -4.948 eV per atom
Crystal system   hexagonal
Density   6.63 g cm⁻³
Magnetic moment   0.00 Bohr magnetons per cell
Energy above the most stable polymorph in this dataset   0 meV/atom
DOS at the Fermi energy   9.81 states/eV per cell